No. 1
First-principles (PBE) data for a relaxed structure of ScTlO3, as listed in the Alexandria database.

a = 4.0804 Å, b = 4.0804 Å, c = 4.0804 Å
α = 90.00°, β = 90.00°, γ = 90.00°
With the nearest neighbours (Å) after each atom.
Space group Pm-3m (No. 221)
Inequivalent atoms, fractional coordinates:
Sc (0.0000, 0.0000, 0.0000) (multiplicity 1)  6 O 2.04
Tl (0.5000, 0.5000, 0.5000) (multiplicity 1)  12 O 2.89
O (0.0000, 0.0000, 0.5000) (multiplicity 3)  2 Sc 2.04

Results
* DOS at the Fermi energy: 4.64 states/eV/cell
* total magnetization: 0.494 μB/f.u.
* raw total energy: -31.62 eV for the cell shown

=====

No. 2
First-principles (PBE) data for a relaxed structure of CeLuGaAu, as listed in the Alexandria database.

a = 7.2391 Å, b = 7.2391 Å, c = 7.2391 Å
α = 90.00°, β = 90.00°, γ = 90.00°
With the nearest neighbours (Å) after each atom.
Space group F-43m (No. 216)
Inequivalent atoms, fractional coordinates:
Ce (0.0000, 0.0000, 0.0000) (multiplicity 4)  4 Ga 3.13, 4 Au 3.13
Lu (0.0000, 0.0000, 0.5000) (multiplicity 4)  4 Au 3.13, 4 Ga 3.13
Ga (0.2500, 0.2500, 0.2500) (multiplicity 4)  4 Lu 3.13, 4 Ce 3.13
Au (0.2500, 0.2500, 0.7500) (multiplicity 4)  4 Ce 3.13, 4 Lu 3.13

Results
* DOS at the Fermi energy: 31.47 states/eV/cell
* calculated formation energy: -0.589 eV per atom
* total magnetization: 0.735 μB/f.u.
* raw total energy: -76.46 eV for the cell shown

=====

No. 3
First-principles (PBE) data for a relaxed structure of P3Se4Cl, as listed in the Alexandria database.

a = 6.8587 Å, b = 9.3906 Å, c = 10.2613 Å
α = 64.90°, β = 89.19°, γ = 81.92°
With the nearest neighbours (Å) after each atom.
Space group P-1 (No. 2)
Inequivalent atoms, fractional coordinates:
P (0.0009, 0.1899, 0.4391) (multiplicity 2)  3 Se 2.27-2.38
P (0.0932, 0.4496, 0.8749) (multiplicity 2)  1 Cl 2.09, 2 Se 2.32-2.33
P (0.2893, 0.5720, 0.5323) (multiplicity 2)  3 Se 2.30-2.34
Se (0.1345, 0.3643, 0.6937) (multiplicity 2)  2 P 2.32-2.34
Se (0.1939, 0.9771, 0.4067) (multiplicity 2)  2 P 2.27-2.38
Se (0.2112, 0.6924, 0.7688) (multiplicity 2)  2 P 2.33-2.35
Se (0.3963, 0.4641, 0.3721) (multiplicity 2)  2 P 2.30-2.33
Cl (0.3408, 0.3239, 0.0130) (multiplicity 2)  1 P 2.09

Results
* DOS at the Fermi energy: 0.00 states/eV/cell
* total magnetization: 0.000 μB/f.u.
* raw total energy: -65.80 eV for the cell shown

=====

No. 4
First-principles (PBE) data for a relaxed structure of NbAl3Ru4, as listed in the Alexandria database.

a = 3.1016 Å, b = 4.3118 Å, c = 8.5327 Å
α = 90.00°, β = 90.00°, γ = 90.00°
With the nearest neighbours (Å) after each atom.
Space group Pmmm (No. 47)
Inequivalent atoms, fractional coordinates:
Nb (0.0000, 0.0000, 0.0000) (multiplicity 1)  8 Ru 2.65-2.66
Al (0.0000, 0.0000, 0.5000) (multiplicity 1)  8 Ru 2.62-2.66
Al (0.0000, 0.5000, 0.2563) (multiplicity 2)  8 Ru 2.59-2.68
Ru (0.5000, 0.0000, 0.2524) (multiplicity 2)  6 Al 2.62-2.66, 2 Nb 2.65
Ru (0.5000, 0.5000, 0.0000) (multiplicity 1)  4 Nb 2.66, 4 Al 2.68
Ru (0.5000, 0.5000, 0.5000) (multiplicity 1)  8 Al 2.59-2.66

Results
* DOS at the Fermi energy: 6.04 states/eV/cell
* calculated formation energy: -0.629 eV per atom
* total magnetization: 0.000 μB/f.u.
* raw total energy: -63.43 eV for the cell shown

=====

No. 5
First-principles (PBE) data for a relaxed structure of TbSm2Sc, as listed in the Alexandria database.

a = 3.5473 Å, b = 3.5473 Å, c = 34.0417 Å
α = 90.00°, β = 90.00°, γ = 120.00°
With the nearest neighbours (Å) after each atom.
Space group R3m (No. 160, hexagonal axes)
Inequivalent atoms, fractional coordinates:
Tb (0.0000, 0.0000, 0.0000) (multiplicity 3)  6 Tb 3.55, 6 Sm 3.57-3.59
Sm (0.0000, 0.0000, 0.2467) (multiplicity 3)  3 Sc 3.42, 6 Sm 3.55, 3 Tb 3.59
Sm (0.0000, 0.0000, 0.4192) (multiplicity 3)  3 Sc 3.42, 6 Sm 3.55, 3 Tb 3.57
Sc (0.0000, 0.0000, 0.8328) (multiplicity 3)  6 Sm 3.42, 6 Sc 3.55

Results
* E above lowest polymorph: 9 meV/atom
* DOS at the Fermi energy: 17.58 states/eV/cell
* calculated formation energy: 0.048 eV per atom
* total magnetization: 0.000 μB/f.u.
* raw total energy: -60.62 eV for the cell shown

=====

No. 6
First-principles (PBE) data for a relaxed structure of TaCdPt3, as listed in the Alexandria database.

a = 4.9039 Å, b = 4.9039 Å, c = 4.9039 Å
α = 90.00°, β = 90.00°, γ = 90.00°
With the nearest neighbours (Å) after each atom.
Space group Pm-3m (No. 221)
Inequivalent atoms, fractional coordinates:
Ta (0.0000, 0.0000, 0.0000) (multiplicity 1)  6 Pt 2.45
Cd (0.5000, 0.5000, 0.5000) (multiplicity 1)  12 Pt 3.47
Pt (0.0000, 0.0000, 0.5000) (multiplicity 3)  2 Ta 2.45

Results
* E above lowest polymorph: 0 meV/atom
* DOS at the Fermi energy: 3.65 states/eV/cell
* calculated formation energy: 0.695 eV per atom
* total magnetization: 0.000 μB/f.u.
* raw total energy: -27.41 eV for the cell shown